Ba2CoNiO | PBE with a Hubbard U | relaxed

Cell: 5.6722 5.6722 4.2781 Å, 90.00 90.00 90.00°
Last column: nearest neighbours and their distance in Å.
Space group P4/mmm (No. 123)
Symmetry-distinct sites (fractional):
Ba 0.0000 0.5000 0.0000  2 Ni 2.84
Co 0.0000 0.0000 0.5000  2 Ni 2.14
Ni 0.0000 0.0000 0.0000  2 Co 2.14
O 0.5000 0.5000 0.5000  8 Ba 3.55

DOS at the Fermi energy in states/eV/atom: 0.47
Calculated volume in Å³/cell: 137.64
Total DFT energy (no corrections) in eV/atom: -3.07